7
Lattice="-2.444 2.444 6.696 2.444 -2.444 6.696 2.444 2.444 -6.696" Properties=species:S:1:pos:R:3 comment="Hf2InPd4, optimized geometry, DFT PBE" dos_ef_per_ev_atom=0.74 ef_kj_per_mol_atoms=25 e_above_lowest_polymorph_kj_per_mol_atoms=81.8 pbc="T T T"
Hf 0.000 0.000 1.540
Hf 0.000 0.000 11.853
In 0.000 0.000 6.696
Pd 2.444 0.000 0.000
Pd 0.000 0.000 3.993
Pd 0.000 2.444 0.000
Pd 0.000 0.000 9.400